BaSrCo | PBE-GGA | optimized geometry

- ΔE_f (eV/atom) = 0.42
- SG = Fmm2
- V (Å³ per atom) = 35.6
- E (eV per atom) = -3.148
- total magnetic moment (μB per formula unit) = 0.73

CIF file:
```
data_BaSrCo
_cell_length_a 7.8192
_cell_length_b 7.8209
_cell_length_c 3.8123
_cell_angle_alpha 75.87
_cell_angle_beta 75.92
_cell_angle_gamma 28.22
_space_group_name_H-M_alt 'P 1'
_space_group_IT_number 1
_space_group_name_Hall 'P 1'
loop_
_atom_site_label
_atom_site_fract_x
_atom_site_fract_y
_atom_site_fract_z
Ba1 0.9568 0.9568 0.0432
Co1 0.3306 0.3306 0.6694
Sr1 0.7126 0.7126 0.2874
```

---

GaCu2AuSe4 | PBE-GGA | optimized geometry

- SG = I-42m
- V (Å³ per atom) = 23.0
- E (eV per atom) = -3.810
- ΔE_f (raw) (meV/atom) = -256
- total magnetic moment (μB per formula unit) = 0.00

CIF file:
```
data_GaCu2AuSe4
_cell_length_a 5.7389
_cell_length_b 5.7389
_cell_length_c 6.9069
_cell_angle_alpha 114.54
_cell_angle_beta 114.54
_cell_angle_gamma 90.01
_space_group_name_H-M_alt 'P 1'
_space_group_IT_number 1
_space_group_name_Hall 'P 1'
loop_
_atom_site_label
_atom_site_fract_x
_atom_site_fract_y
_atom_site_fract_z
Ga1 0.5001 0.5001 0.0002
Cu1 0.7501 0.2501 0.5002
Cu2 0.2501 0.7501 0.5002
Au1 0.0000 0.0000 0.0000
Se1 0.6069 0.6069 0.7323
Se2 0.3930 0.8748 0.2678
Se3 0.8748 0.3930 0.2678
Se4 0.1253 0.1253 0.7323
```

---

La2Pr4Nd2Dy | PBE-GGA | optimized geometry

- ΔE_f (eV/atom) = 0.01
- SG = C2/m
- V (Å³ per atom) = 35.8
- E (eV per atom) = -4.778
- total magnetic moment (μB per formula unit) = 0.00

CIF file:
```
data_La2Pr4Nd2Dy
_cell_length_a 3.7291
_cell_length_b 9.8406
_cell_length_c 9.9189
_cell_angle_alpha 115.05
_cell_angle_beta 90.00
_cell_angle_gamma 100.92
_space_group_name_H-M_alt 'P 1'
_space_group_IT_number 1
_space_group_name_Hall 'P 1'
loop_
_atom_site_label
_atom_site_fract_x
_atom_site_fract_y
_atom_site_fract_z
La1 0.3348 0.6695 0.0005
La2 0.6652 0.3305 0.9995
Pr1 0.8150 0.6299 0.6675
Pr2 0.1850 0.3701 0.3325
Pr3 0.5181 0.0362 0.3299
Pr4 0.4819 0.9638 0.6701
Nd1 0.8523 0.7046 0.3319
Nd2 0.1477 0.2954 0.6681
Dy1 0.0000 0.0000 0.0000
```

---

LiZrB2Pt | PBE-GGA | optimized geometry

- ΔE_f (eV/atom) = 0.70
- SG = P4/mmm
- V (Å³ per atom) = 17.9
- E (eV per atom) = -5.274
- total magnetic moment (μB per formula unit) = 0.07

CIF file:
```
data_LiZrB2Pt
_cell_length_a 4.0913
_cell_length_b 5.3427
_cell_length_c 4.0913
_cell_angle_alpha 90.00
_cell_angle_beta 90.00
_cell_angle_gamma 90.00
_space_group_name_H-M_alt 'P 1'
_space_group_IT_number 1
_space_group_name_Hall 'P 1'
loop_
_atom_site_label
_atom_site_fract_x
_atom_site_fract_y
_atom_site_fract_z
B1 0.0000 0.0000 0.5000
B2 0.5000 0.0000 0.0000
Zr1 0.0000 0.5000 0.0000
Pt1 0.0000 0.0000 0.0000
Li1 0.5000 0.5000 0.5000
```

---

Zn2NiI6 | PBE-GGA | optimized geometry

- SG = C2/m
- V (Å³ per atom) = 36.0
- E (eV per atom) = -2.290
- ΔE_f (raw) (meV/atom) = -331
- total magnetic moment (μB per formula unit) = 2.00

CIF file:
```
data_Zn2NiI6
_cell_length_a 4.0499
_cell_length_b 8.9625
_cell_length_c 9.7630
_cell_angle_alpha 110.32
_cell_angle_beta 101.97
_cell_angle_gamma 90.00
_space_group_name_H-M_alt 'P 1'
_space_group_IT_number 1
_space_group_name_Hall 'P 1'
loop_
_atom_site_label
_atom_site_fract_x
_atom_site_fract_y
_atom_site_fract_z
Zn1 0.8330 0.6683 0.6660
Zn2 0.1670 0.3317 0.3340
Ni1 0.5000 0.0000 0.0000
I1 0.3455 0.9002 0.6910
I2 0.0070 0.2146 0.0139
I3 0.6735 0.5637 0.3469
I4 0.9930 0.7854 0.9861
I5 0.6545 0.0998 0.3090
I6 0.3265 0.4363 0.6531
```

---

LiAs2Au | PBE-GGA | optimized geometry

- ΔE_f (eV/atom) = -0.11
- SG = I-42d
- V (Å³ per atom) = 20.6
- E (eV per atom) = -3.732
- total magnetic moment (μB per formula unit) = 0.00

CIF file:
```
data_LiAs2Au
_cell_length_a 8.0328
_cell_length_b 8.0328
_cell_length_c 6.2280
_cell_angle_alpha 49.84
_cell_angle_beta 49.84
_cell_angle_gamma 90.00
_space_group_name_H-M_alt 'P 1'
_space_group_IT_number 1
_space_group_name_Hall 'P 1'
loop_
_atom_site_label
_atom_site_fract_x
_atom_site_fract_y
_atom_site_fract_z
As1 0.6885 0.1250 0.2500
As2 0.0615 0.6250 0.2500
As3 0.3750 0.3115 0.7500
As4 0.8750 0.9385 0.7500
Au1 0.0000 0.0000 0.0000
Au2 0.7500 0.2500 0.5000
Li1 0.5000 0.5000 0.0000
Li2 0.2500 0.7500 0.5000
```

---

Pr4SmTh3 | PBE-GGA | optimized geometry

- ΔE_f (eV/atom) = 0.04
- SG = Pmmn
- V (Å³ per atom) = 34.3
- E (eV per atom) = -5.718
- total magnetic moment (μB per formula unit) = 0.00

CIF file:
```
data_Pr4SmTh3
_cell_length_a 5.1229
_cell_length_b 10.4231
_cell_length_c 10.2743
_cell_angle_alpha 90.00
_cell_angle_beta 90.00
_cell_angle_gamma 90.00
_space_group_name_H-M_alt 'P 1'
_space_group_IT_number 1
_space_group_name_Hall 'P 1'
loop_
_atom_site_label
_atom_site_fract_x
_atom_site_fract_y
_atom_site_fract_z
Pr1 0.0644 0.8609 0.0000
Pr2 0.5644 0.1309 0.0000
Pr3 0.0644 0.1350 0.2517
Pr4 0.5644 0.8650 0.2483
Pr5 0.0644 0.8691 0.5000
Pr6 0.5644 0.1391 0.5000
Pr7 0.5644 0.8650 0.7517
Pr8 0.0644 0.1350 0.7483
Th1 0.5644 0.6182 0.0000
Th2 0.0644 0.6170 0.2472
Th3 0.5644 0.3830 0.2528
Th4 0.0644 0.3818 0.5000
Th5 0.5644 0.3830 0.7472
Th6 0.0644 0.6170 0.7528
Sm1 0.0644 0.3828 0.0000
Sm2 0.5644 0.6172 0.5000
```

---

KMn2Tl | PBE-GGA | optimized geometry

- ΔE_f (eV/atom) = 0.86
- SG = Fm-3m
- V (Å³ per atom) = 23.9
- E (eV per atom) = -4.595
- total magnetic moment (μB per formula unit) = 8.71

CIF file:
```
data_KMn2Tl
_cell_length_a 5.1300
_cell_length_b 5.1300
_cell_length_c 5.1300
_cell_angle_alpha 60.00
_cell_angle_beta 60.00
_cell_angle_gamma 60.00
_space_group_name_H-M_alt 'P 1'
_space_group_IT_number 1
_space_group_name_Hall 'P 1'
loop_
_atom_site_label
_atom_site_fract_x
_atom_site_fract_y
_atom_site_fract_z
Tl1 0.5000 0.5000 0.5000
Mn1 0.2500 0.2500 0.2500
Mn2 0.7500 0.7500 0.7500
K1 0.0000 0.0000 0.0000
```

---

CoReSN2 | PBE-GGA | optimized geometry

- SG = P4/mmm
- V (Å³ per atom) = 11.9
- E (eV per atom) = -6.598
- ΔE_f (raw) (meV/atom) = 1468
- total magnetic moment (μB per formula unit) = 0.60

CIF file:
```
data_CoReSN2
_cell_length_a 3.6351
_cell_length_b 3.6351
_cell_length_c 4.4861
_cell_angle_alpha 90.00
_cell_angle_beta 90.00
_cell_angle_gamma 90.00
_space_group_name_H-M_alt 'P 1'
_space_group_IT_number 1
_space_group_name_Hall 'P 1'
loop_
_atom_site_label
_atom_site_fract_x
_atom_site_fract_y
_atom_site_fract_z
Re1 0.5000 0.5000 0.5000
S1 0.0000 0.0000 0.5000
Co1 0.0000 0.0000 0.0000
N1 0.0000 0.5000 0.0000
N2 0.5000 0.0000 0.0000
```

---

TbDyEr14 | PBE-GGA | optimized geometry

- ΔE_f (eV/atom) = 0.06
- SG = Amm2
- V (Å³ per atom) = 30.7
- E (eV per atom) = -4.510
- total magnetic moment (μB per formula unit) = 0.00

CIF file:
```
data_TbDyEr14
_cell_length_a 6.8516
_cell_length_b 6.8516
_cell_length_c 10.9783
_cell_angle_alpha 90.00
_cell_angle_beta 90.00
_cell_angle_gamma 107.87
_space_group_name_H-M_alt 'P 1'
_space_group_IT_number 1
_space_group_name_Hall 'P 1'
loop_
_atom_site_label
_atom_site_fract_x
_atom_site_fract_y
_atom_site_fract_z
Tb1 0.1435 0.8565 0.5000
Dy1 0.6956 0.3044 0.5000
Er1 0.1062 0.8938 0.0000
Er2 0.5552 0.4448 0.0000
Er3 0.2126 0.3783 0.5000
Er4 0.0385 0.3710 0.0000
Er5 0.6217 0.7874 0.5000
Er6 0.6290 0.9615 0.0000
Er7 0.4156 0.1663 0.7509
Er8 0.4156 0.1663 0.2491
Er9 0.8337 0.5844 0.7509
Er10 0.8337 0.5844 0.2491
Er11 0.3461 0.6539 0.7690
Er12 0.3461 0.6539 0.2310
Er13 0.9034 0.0966 0.7327
Er14 0.9034 0.0966 0.2673
```

---

Ac2Nd3Pb4 | PBE-GGA | optimized geometry

- ΔE_f (eV/atom) = -0.50
- SG = Cmce
- V (Å³ per atom) = 35.2
- E (eV per atom) = -4.649
- total magnetic moment (μB per formula unit) = 0.00

CIF file:
```
data_Ac2Nd3Pb4
_cell_length_a 7.4608
_cell_length_b 9.3748
_cell_length_c 9.8078
_cell_angle_alpha 90.00
_cell_angle_beta 112.36
_cell_angle_gamma 90.00
_space_group_name_H-M_alt 'P 1'
_space_group_IT_number 1
_space_group_name_Hall 'P 1'
loop_
_atom_site_label
_atom_site_fract_x
_atom_site_fract_y
_atom_site_fract_z
Ac1 0.1107 0.5870 0.2214
Ac2 0.8893 0.4130 0.7786
Ac3 0.3893 0.0870 0.7786
Ac4 0.6107 0.9130 0.2214
Nd1 0.0000 0.0000 0.0000
Nd2 0.5000 0.5000 0.0000
Nd3 0.5428 0.7500 0.5855
Nd4 0.9572 0.2500 0.4145
Nd5 0.4572 0.2500 0.4145
Nd6 0.0428 0.7500 0.5855
Pb1 0.7169 0.7500 0.9338
Pb2 0.7831 0.2500 0.0662
Pb3 0.2831 0.2500 0.0662
Pb4 0.2169 0.7500 0.9338
Pb5 0.1855 0.9453 0.3711
Pb6 0.8145 0.0547 0.6289
Pb7 0.3145 0.4453 0.6289
Pb8 0.6855 0.5547 0.3711
```

---

La2YTm7 | PBE-GGA | optimized geometry

- ΔE_f (eV/atom) = 0.03
- SG = P-1
- V (Å³ per atom) = 31.7
- E (eV per atom) = -4.727
- total magnetic moment (μB per formula unit) = 0.00

CIF file:
```
data_La2YTm7
_cell_length_a 6.1361
_cell_length_b 7.9647
_cell_length_c 9.4089
_cell_angle_alpha 120.67
_cell_angle_beta 90.62
_cell_angle_gamma 58.61
_space_group_name_H-M_alt 'P 1'
_space_group_IT_number 1
_space_group_name_Hall 'P 1'
loop_
_atom_site_label
_atom_site_fract_x
_atom_site_fract_y
_atom_site_fract_z
La1 0.5976 0.6032 0.4005
La2 0.4024 0.3968 0.5995
Y1 0.0000 0.0000 0.0000
Tm1 0.8992 0.9036 0.6030
Tm2 0.1008 0.0964 0.3970
Tm3 0.6974 0.7018 0.8034
Tm4 0.3026 0.2982 0.1966
Tm5 0.8035 0.7959 0.1951
Tm6 0.1965 0.2041 0.8049
Tm7 0.5000 0.5000 0.0000
```

---

EuHgI2 | PBE-GGA | optimized geometry

- SG = P4/mmm
- V (Å³ per atom) = 41.6
- E (eV per atom) = -4.503
- ΔE_f (raw) (meV/atom) = -1084
- total magnetic moment (μB per formula unit) = 7.00

CIF file:
```
data_EuHgI2
_cell_length_a 4.0483
_cell_length_b 4.0483
_cell_length_c 10.1427
_cell_angle_alpha 90.00
_cell_angle_beta 90.00
_cell_angle_gamma 90.00
_space_group_name_H-M_alt 'P 1'
_space_group_IT_number 1
_space_group_name_Hall 'P 1'
loop_
_atom_site_label
_atom_site_fract_x
_atom_site_fract_y
_atom_site_fract_z
Eu1 0.5000 0.5000 0.0000
I1 0.0000 0.0000 0.8135
I2 0.0000 0.0000 0.1865
Hg1 0.5000 0.5000 0.5000
```